Below is LaY2Cu after structural relaxation, with properties calculated at the PBE-GGA level.

abc: 3.756 3.756 10.014
angles: 79.19 79.19 60.00
Element x y z (fractional)
La1 0.502 0.502 0.495
Y1 0.063 0.063 0.810
Y2 0.270 0.270 0.191
Cu1 0.666 0.666 0.003

* space group: R3m, No. 160
* total magnetic moment: 0.000 μB per atom
* energy above the lowest structure with this stoichiometry: 0.120 eV per atom
* energy relative to the elements: 0.028 eV/atom
* total energy: -5.460 eV/atom
* ρ: 5.29 g/cm3

Below is LaY2Cu after structural relaxation, with properties calculated at the PBE-GGA level.

abc: 3.743 5.502 5.424
angles: 90.00 90.00 90.00
Element x y z (fractional)
Cu1 0.500 0.000 0.500
La1 0.000 0.500 0.500
Y1 0.000 0.000 0.000
Y2 0.500 0.500 0.000

* space group: Pmmm, No. 47
* total magnetic moment: 0.000 μB per atom
* energy above the lowest structure with this stoichiometry: 0.227 eV per atom
* energy relative to the elements: 0.135 eV/atom
* total energy: -5.353 eV/atom
* ρ: 5.65 g/cm3

Below is LaY2Cu2 after structural relaxation, with properties calculated at the PBE-GGA level.

abc: 8.413 8.413 3.350
angles: 90.00 90.00 90.00
Element x y z (fractional)
Y1 0.360 0.860 0.000
Y2 0.860 0.640 0.000
Y3 0.640 0.140 0.000
Y4 0.140 0.360 0.000
Cu1 0.154 0.654 0.500
Cu2 0.654 0.846 0.500
Cu3 0.846 0.346 0.500
Cu4 0.346 0.154 0.500
La1 0.000 0.000 0.000
La2 0.500 0.500 0.000

* space group: P4/mbm, No. 127
* total magnetic moment: 0.086 μB per atom
* energy above the lowest structure with this stoichiometry: 0.097 eV per atom
* energy relative to the elements: -0.029 eV/atom
* total energy: -5.238 eV/atom
* ρ: 6.22 g/cm3

Below is LaY2Cu2 after structural relaxation, with properties calculated at the PBE-GGA level.

abc: 5.111 5.111 6.388
angles: 66.42 66.42 90.00
Element x y z (fractional)
Y1 0.344 0.344 0.313
Y2 0.656 0.656 0.687
Cu1 0.750 0.250 0.500
Cu2 0.250 0.750 0.500
La1 0.000 0.000 0.000

* space group: I4/mmm, No. 139
* total magnetic moment: 0.159 μB per atom
* energy above the lowest structure with this stoichiometry: 0.244 eV per atom
* energy relative to the elements: 0.118 eV/atom
* total energy: -5.092 eV/atom
* ρ: 5.36 g/cm3